# 1
Material: YNiBr2
Method: DFT, PBE
State: optimized geometry

Output
The magnetic moment comes out at 0.000 μB per formula unit. The energy above the most stable polymorph in this dataset comes out at 28 meV/atom. The calculation puts the formation energy without anion corrections at -0.83 eV/atom.

Unit cell a=7.815 b=7.815 c=4.224 alpha=92.46 beta=92.46 gamma=27.63
Fractional positions:
Br  0.885  0.885  0.011
Br  0.615  0.615  0.489
Ni  0.750  0.750  0.750
Y  0.250  0.250  0.250

---

# 2
Material: Y6NiBr10
Method: DFT, PBE
State: optimized geometry

Output
The magnetic moment comes out at 0.000 μB per formula unit. The calculation puts the formation energy without anion corrections at -1.57 eV/atom.

Unit cell a=7.340 b=9.152 c=9.196 alpha=107.42 beta=96.58 gamma=104.53
Fractional positions:
Y  0.876  0.954  0.244
Y  0.124  0.046  0.756
Y  0.036  0.708  0.910
Y  0.964  0.292  0.090
Y  0.649  0.870  0.826
Y  0.351  0.130  0.174
Ni  0.000  0.000  0.000
Br  0.660  0.552  0.728
Br  0.340  0.448  0.272
Br  0.752  0.919  0.543
Br  0.248  0.081  0.457
Br  0.913  0.628  0.174
Br  0.087  0.372  0.826
Br  0.545  0.180  0.912
Br  0.455  0.820  0.088
Br  0.228  0.748  0.657
Br  0.772  0.252  0.343

---

# 3
Material: YNiBr2
Method: DFT, PBE
State: optimized geometry

Output
The magnetic moment comes out at 0.664 μB per formula unit. The energy above the most stable polymorph in this dataset comes out at 505 meV/atom. The calculation puts the formation energy without anion corrections at -0.35 eV/atom.

Unit cell a=7.864 b=7.864 c=7.864 alpha=26.86 beta=26.86 gamma=26.86
Each line ends with the local moment (μB).
Fractional positions:
Br  0.986  0.986  0.986  0.02
Br  0.514  0.514  0.514  0.02
Ni  0.250  0.250  0.250  0.59
Y  0.750  0.750  0.750  0.02

---

# 4
Material: YNiBr3
Method: DFT, PBE
State: optimized geometry

Output
The magnetic moment comes out at 0.001 μB per formula unit. The energy above the most stable polymorph in this dataset comes out at 47 meV/atom. The calculation puts the formation energy without anion corrections at -0.44 eV/atom.

Unit cell a=4.922 b=4.922 c=4.922 alpha=90.00 beta=90.00 gamma=90.00
Fractional positions:
Y  0.500  0.500  0.500
Ni  0.000  0.000  0.000
Br  0.000  0.500  0.000
Br  0.000  0.000  0.500
Br  0.500  0.000  0.000